[1]
VASP calculation (PBE) on crystalline CaLuInHg at its relaxed geometry.

a = 5.2933 Å, b = 5.2933 Å, c = 5.2933 Å
α = 60.00°, β = 60.00°, γ = 60.00°
Fractional coordinates of all 4 atoms:
Lu 0.0000 0.0000 0.0000
Ca 0.5000 0.5000 0.5000
Hg 0.7500 0.7500 0.7500
In 0.2500 0.2500 0.2500

DOS at the Fermi energy = 2.25 states/eV/f.u.
calculated formation energy = -0.46 eV/atom
volume = 26.2 A^3/atom

[2]
VASP calculation (PBE) on crystalline CaMg2InHg4 at its relaxed geometry.

a = 5.0969 Å, b = 5.0969 Å, c = 9.0944 Å
α = 73.73°, β = 73.73°, γ = 60.00°
Fractional coordinates of all 8 atoms:
Hg 0.8766 0.8766 0.3703
Hg 0.3764 0.3764 0.8708
Hg 0.1234 0.1234 0.6297
Hg 0.6236 0.6236 0.1292
In 0.5000 0.5000 0.5000
Mg 0.7532 0.7532 0.7405
Mg 0.2468 0.2468 0.2595
Ca 0.0000 0.0000 0.0000

DOS at the Fermi energy = 3.49 states/eV/f.u.
calculated formation energy = -0.26 eV/atom
volume = 24.2 A^3/atom

[3]
VASP calculation (PBE) on crystalline Ca4MgIn2Hg at its relaxed geometry.

a = 5.4509 Å, b = 5.4509 Å, c = 9.4289 Å
α = 73.20°, β = 73.20°, γ = 60.00°
Fractional coordinates of all 8 atoms:
Ca 0.8718 0.8718 0.3847
Ca 0.3789 0.3789 0.8633
Ca 0.1282 0.1282 0.6153
Ca 0.6211 0.6211 0.1367
In 0.7444 0.7444 0.7669
In 0.2556 0.2556 0.2331
Mg 0.0000 0.0000 0.0000
Hg 0.5000 0.5000 0.5000

DOS at the Fermi energy = 4.11 states/eV/f.u.
calculated formation energy = -0.43 eV/atom
volume = 28.6 A^3/atom

[4]
VASP calculation (PBE) on crystalline Ca2MgInHg4 at its relaxed geometry.

a = 5.1720 Å, b = 5.1720 Å, c = 9.0256 Å
α = 73.35°, β = 73.35°, γ = 60.00°
Fractional coordinates of all 8 atoms:
Mg 0.5000 0.5000 0.5000
In 0.0000 0.0000 0.0000
Ca 0.7470 0.7470 0.7591
Ca 0.2530 0.2530 0.2409
Hg 0.6198 0.6198 0.1405
Hg 0.3802 0.3802 0.8595
Hg 0.8693 0.8693 0.3921
Hg 0.1307 0.1307 0.6079

DOS at the Fermi energy = 5.26 states/eV/f.u.
calculated formation energy = -0.41 eV/atom
volume = 24.7 A^3/atom

[5]
VASP calculation (PBE) on crystalline Ca2MgInHg at its relaxed geometry.

a = 6.0135 Å, b = 5.2601 Å, c = 6.0135 Å
α = 90.00°, β = 90.00°, γ = 90.00°
Fractional coordinates of all 5 atoms:
Mg 0.0000 0.5000 0.0000
Ca 0.0000 0.0000 0.5000
Ca 0.5000 0.0000 0.0000
Hg 0.5000 0.5000 0.5000
In 0.0000 0.0000 0.0000

DOS at the Fermi energy = 4.84 states/eV/f.u.
calculated formation energy = 0.02 eV/atom
volume = 38.0 A^3/atom

[6]
VASP calculation (PBE) on crystalline CaMn2InHg at its relaxed geometry.

a = 5.1406 Å, b = 5.3974 Å, c = 5.1406 Å
α = 90.00°, β = 90.00°, γ = 90.00°
Fractional coordinates of all 5 atoms:
In 0.0000 0.5000 0.0000
Ca 0.5000 0.5000 0.5000
Mn 0.5000 0.0000 0.0000
Mn 0.0000 0.0000 0.5000
Hg 0.0000 0.0000 0.0000

DOS at the Fermi energy = 3.39 states/eV/f.u.
calculated formation energy = 0.63 eV/atom
volume = 28.5 A^3/atom